Below is a relaxed structure of ErAlZnAu, with properties calculated at the GGA-PBE level.

## Properties
Energy: -14.98 eV per formula unit
E_form: -0.531 eV/atom

Cell and atoms, written as POSCAR:
```
ErAlZnAu
1.0
0.000 3.354 3.354
3.354 0.000 3.354
3.354 3.354 0.000
Er Al Zn Au
1 1 1 1
direct
0.000 0.000 0.000
0.500 0.500 0.500
0.250 0.250 0.250
0.750 0.750 0.750
```



Below is a relaxed structure of Er2Al4ZnAu3, with properties calculated at the GGA-PBE level.

## Properties
Energy: -41.43 eV per formula unit
E_form: -0.623 eV/atom

Cell and atoms, written as POSCAR:
```
Er2Al4ZnAu3
1.0
4.214 0.000 0.000
0.000 4.214 0.000
0.000 0.000 10.889
Er Al Zn Au
2 4 1 3
direct
0.000 0.500 0.244
0.500 0.000 0.756
0.000 0.000 0.500
0.000 0.500 0.865
0.500 0.000 0.135
0.500 0.500 0.500
0.500 0.500 0.000
0.000 0.000 0.000
0.000 0.500 0.638
0.500 0.000 0.362
```



Below is a relaxed structure of Er2AlZn3Au4, with properties calculated at the GGA-PBE level.

## Properties
Energy: -34.96 eV per formula unit
E_form: -0.516 eV/atom

Cell and atoms, written as POSCAR:
```
Er2AlZn3Au4
1.0
4.103 0.000 0.000
0.000 4.103 0.000
0.000 0.000 11.632
Er Al Zn Au
2 1 3 4
direct
0.000 0.500 0.248
0.500 0.000 0.752
0.000 0.000 0.500
0.000 0.500 0.859
0.500 0.000 0.141
0.500 0.500 0.500
0.000 0.000 0.000
0.000 0.500 0.643
0.500 0.000 0.357
0.500 0.500 0.000
```



Below is a relaxed structure of EuAlAu2, with properties calculated at the GGA-PBE level.

## Properties
Energy: -22.62 eV per formula unit
E_form: -0.512 eV/atom

Cell and atoms, written as POSCAR:
```
EuAlAu2
1.0
3.305 0.000 0.000
0.000 3.305 0.000
0.000 0.000 7.530
Eu Al Au
1 1 2
direct
0.000 0.000 0.000
0.000 0.000 0.500
0.500 0.500 0.299
0.500 0.500 0.701
```



Below is a relaxed structure of EuAlAu, with properties calculated at the GGA-PBE level.

## Properties
Energy: -19.32 eV per formula unit
E_form: -0.675 eV/atom

Cell and atoms, written as POSCAR:
```
EuAlAu
1.0
7.524 0.000 0.000
0.000 4.646 0.000
0.000 0.000 7.805
Eu Al Au
4 4 4
direct
0.014 0.250 0.184
0.486 0.750 0.684
0.514 0.250 0.316
0.986 0.750 0.816
0.159 0.250 0.573
0.341 0.750 0.073
0.659 0.250 0.927
0.841 0.750 0.427
0.202 0.750 0.393
0.298 0.250 0.893
0.702 0.750 0.107
0.798 0.250 0.607
```



Below is a relaxed structure of EuAl2Au, with properties calculated at the GGA-PBE level.

## Properties
Energy: -22.97 eV per formula unit
E_form: -0.483 eV/atom

Cell and atoms, written as POSCAR:
```
EuAl2Au
1.0
2.181 1.259 5.565
-2.181 1.259 5.565
0.000 -2.518 5.565
Eu Al Au
1 2 1
direct
0.000 0.000 0.000
0.208 0.208 0.208
0.792 0.792 0.792
0.500 0.500 0.500
```